[1]
A relaxed Mg2TlNi crystal, computed with GGA-PBEsol.

Calculated values
The calculation puts the total magnetic moment at 0.000 μB/cell. The value obtained for the calculated total energy is -3.0304 eV/atom.

```
data_Mg2TlNi
_chemical_formula_sum 'Mg2 Tl1 Ni1'
_cell_length_a 3.330
_cell_length_b 3.330
_cell_length_c 6.532
_cell_angle_alpha 90.00
_cell_angle_beta 90.00
_cell_angle_gamma 90.00
_symmetry_space_group_name_H-M 'P 4 m m'
_symmetry_Int_Tables_number 99
_symmetry_space_group_name_Hall 'P 4 -2'
loop_
_atom_site_label
_atom_site_fract_x
_atom_site_fract_y
_atom_site_fract_z
_atom_site_occupancy
Mg1 0.000 0.000 0.000 1
Mg2 0.500 0.500 0.288 1
Tl1 0.500 0.500 0.716 1
Ni1 0.000 0.000 0.477 1
```

***

[2]
A relaxed K2CoH2Se2O10 crystal, computed with GGA-PBEsol.

Calculated values
The calculation puts the total magnetic moment at 1.012 μB/cell. The value obtained for the calculated total energy is -5.5401 eV/atom.

```
data_K2CoH2Se2O10
_chemical_formula_sum 'K2 Co1 H2 Se2 O10'
_cell_length_a 5.164
_cell_length_b 6.819
_cell_length_c 7.540
_cell_angle_alpha 104.34
_cell_angle_beta 98.18
_cell_angle_gamma 107.13
_symmetry_space_group_name_H-M 'P -1'
_symmetry_Int_Tables_number 2
_symmetry_space_group_name_Hall '-P 1'
loop_
_atom_site_label
_atom_site_fract_x
_atom_site_fract_y
_atom_site_fract_z
_atom_site_occupancy
K1 0.193 0.311 0.222 1
Co1 0.500 0.000 0.500 1
H1 0.433 0.018 0.797 1
Se1 0.156 0.255 0.709 1
O1 0.125 0.831 0.478 1
O2 0.162 0.107 0.852 1
O3 0.217 0.509 0.821 1
O4 0.422 0.259 0.594 1
O5 0.427 0.025 0.269 1
```

***

[3]
A relaxed FeOsRh2 crystal, computed with GGA-PBEsol.

Calculated values
The calculation puts the total magnetic moment at 2.527 μB/cell. The value obtained for the calculated total energy is -9.3267 eV/atom.

```
data_FeOsRh2
_chemical_formula_sum 'Fe1 Os1 Rh2'
_cell_length_a 2.664
_cell_length_b 3.741
_cell_length_c 5.248
_cell_angle_alpha 90.00
_cell_angle_beta 90.00
_cell_angle_gamma 90.00
_symmetry_space_group_name_H-M 'P m m m'
_symmetry_Int_Tables_number 47
_symmetry_space_group_name_Hall '-P 2 2'
loop_
_atom_site_label
_atom_site_fract_x
_atom_site_fract_y
_atom_site_fract_z
_atom_site_occupancy
Fe1 0.000 0.000 0.000 1
Os1 0.000 0.000 0.500 1
Rh1 0.500 0.500 0.248 1
```

***

[4]
A relaxed Ta3TcRu crystal, computed with GGA-PBEsol.

Calculated values
The calculation puts the total magnetic moment at 0.000 μB/cell. The value obtained for the calculated total energy is -10.2825 eV/atom.

```
data_Ta3TcRu
_chemical_formula_sum 'Ta3 Tc1 Ru1'
_cell_length_a 4.658
_cell_length_b 4.658
_cell_length_c 4.658
_cell_angle_alpha 90.00
_cell_angle_beta 90.00
_cell_angle_gamma 90.00
_symmetry_space_group_name_H-M 'P m -3 m'
_symmetry_Int_Tables_number 221
_symmetry_space_group_name_Hall '-P 4 2 3'
loop_
_atom_site_label
_atom_site_fract_x
_atom_site_fract_y
_atom_site_fract_z
_atom_site_occupancy
Ta1 0.000 0.000 0.500 1
Tc1 0.000 0.000 0.000 1
Ru1 0.500 0.500 0.500 1
```

***

[5]
A relaxed HgMo3Se crystal, computed with GGA-PBEsol.

Calculated values
The calculation puts the total magnetic moment at 0.000 μB/cell. For the energy relative to the elements, uncorrected, the calculation gives 1073 meV per atom.

```
data_HgMo3Se
_chemical_formula_sum 'Hg1 Mo3 Se1'
_cell_length_a 4.560
_cell_length_b 4.560
_cell_length_c 4.560
_cell_angle_alpha 90.00
_cell_angle_beta 90.00
_cell_angle_gamma 90.00
_symmetry_space_group_name_H-M 'P m -3 m'
_symmetry_Int_Tables_number 221
_symmetry_space_group_name_Hall '-P 4 2 3'
loop_
_atom_site_label
_atom_site_fract_x
_atom_site_fract_y
_atom_site_fract_z
_atom_site_occupancy
Hg1 0.000 0.000 0.000 1
Mo1 0.000 0.500 0.500 1
Se1 0.500 0.500 0.500 1
```

***

[6]
A relaxed MnCrCl2 crystal, computed with GGA-PBEsol.

Calculated values
The calculation puts the total magnetic moment at 8.858 μB/cell. For the energy relative to the elements, uncorrected, the calculation gives 264 meV per atom.

```
data_MnCrCl2
_chemical_formula_sum 'Mn1 Cr1 Cl2'
_cell_length_a 4.546
_cell_length_b 4.546
_cell_length_c 3.175
_cell_angle_alpha 90.00
_cell_angle_beta 90.00
_cell_angle_gamma 90.00
_symmetry_space_group_name_H-M 'P 4/m m m'
_symmetry_Int_Tables_number 123
_symmetry_space_group_name_Hall '-P 4 2'
loop_
_atom_site_label
_atom_site_fract_x
_atom_site_fract_y
_atom_site_fract_z
_atom_site_occupancy
Mn1 0.000 0.000 0.000 1
Cr1 0.500 0.500 0.000 1
Cl1 0.000 0.500 0.500 1
```

***

[7]
A relaxed MgBeAu2 crystal, computed with GGA-PBEsol.

Calculated values
The calculation puts the total magnetic moment at 0.000 μB/cell. The value obtained for the calculated total energy is -3.7694 eV/atom.

```
data_MgBeAu2
_chemical_formula_sum 'Mg1 Be1 Au2'
_cell_length_a 2.981
_cell_length_b 2.981
_cell_length_c 6.674
_cell_angle_alpha 90.00
_cell_angle_beta 90.00
_cell_angle_gamma 90.00
_symmetry_space_group_name_H-M 'P 4/m m m'
_symmetry_Int_Tables_number 123
_symmetry_space_group_name_Hall '-P 4 2'
loop_
_atom_site_label
_atom_site_fract_x
_atom_site_fract_y
_atom_site_fract_z
_atom_site_occupancy
Mg1 0.000 0.000 0.000 1
Be1 0.000 0.000 0.500 1
Au1 0.500 0.500 0.289 1
```

***

[8]
A relaxed TaMnCo2 crystal, computed with GGA-PBEsol.

Calculated values
The calculation puts the total magnetic moment at 0.007 μB/cell. The value obtained for the calculated total energy is -9.4026 eV/atom.

```
data_TaMnCo2
_chemical_formula_sum 'Ta2 Mn2 Co4'
_cell_length_a 8.319
_cell_length_b 2.625
_cell_length_c 4.469
_cell_angle_alpha 90.00
_cell_angle_beta 100.74
_cell_angle_gamma 90.00
_symmetry_space_group_name_H-M 'C 1 m 1'
_symmetry_Int_Tables_number 8
_symmetry_space_group_name_Hall 'C -2y'
loop_
_atom_site_label
_atom_site_fract_x
_atom_site_fract_y
_atom_site_fract_z
_atom_site_occupancy
Ta1 0.000 0.000 0.000 1
Mn1 0.261 0.500 0.319 1
Co1 0.243 0.000 0.748 1
Co2 0.498 0.000 0.494 1
```